Below is an optimized crystal structure of OsSe, with properties calculated at the PBE level.

Calculated values
Total DFT energy (no corrections) ... -109.08 eV/cell
M_tot ... 0.00 μB per formula unit
Energy relative to the elements, uncorrected ... 0.540 eV/atom

a = 5.8491 Å, b = 7.2223 Å, c = 7.5835 Å
α = 90.00°, β = 90.00°, γ = 90.00°
Fractional coordinates of all 16 atoms:
1 Os 0.0010 0.1711 0.3710
2 Os 0.1863 0.5295 0.8134
3 Os 0.3137 0.4705 0.3134
4 Os 0.4990 0.8289 0.8710
5 Os 0.5010 0.3289 0.6290
6 Os 0.6863 0.9705 0.1866
7 Os 0.8137 0.0295 0.6866
8 Os 0.9990 0.6711 0.1290
9 Se 0.0770 0.8505 0.8654
10 Se 0.0790 0.3422 0.0815
11 Se 0.4210 0.6578 0.5815
12 Se 0.4230 0.1495 0.3654
13 Se 0.5770 0.6495 0.1346
14 Se 0.5790 0.1578 0.9185
15 Se 0.9210 0.8422 0.4185
16 Se 0.9230 0.3505 0.6346